Computed, not measured: a relaxed B7C5 crystal at the PBE-GGA level of DFT.

The energy of formation from the pure elements is 39.29 kJ per mole of atoms. The density of states at the Fermi level is 2.7 states/eV/f.u. As for the electronic total energy: -7.3313 eV per atom.

The structure belongs to space group Cm (No. 8); the cell edges are 9.2251, 2.6131 and 8.5904 Å and the angles 90.00°, 120.90° and 90.00°. The asymmetric unit holds B at (0.0000, 0.0000, 0.0000), B at (0.0221, 0.5000, 0.2705), B at (0.0972, 0.0000, 0.6906), B at (0.1747, 0.5000, 0.0082), B at (0.2247, 0.0000, 0.1803), B at (0.2865, 0.0000, 0.6830), B at (0.3255, 0.5000, 0.5658), C at (0.0605, 0.0000, 0.2071), C at (0.1079, 0.5000, 0.8072), C at (0.4130, 0.0000, 0.3667), C at (0.4278, 0.5000, 0.4695) and C at (0.4618, 0.0000, 0.8769).



Computed, not measured: a relaxed B7C5 crystal at the PBE-GGA level of DFT.

The energy of formation from the pure elements is 43.47 kJ per mole of atoms. The density of states at the Fermi level is 1.3 states/eV/f.u. As for the electronic total energy: -7.2880 eV per atom.

The structure belongs to space group P1 (No. 1); the cell edges are 3.7491, 3.8081 and 6.1474 Å and the angles 90.16°, 103.42° and 93.00°. The asymmetric unit holds B at (0.0000, 0.0000, 0.0000), B at (0.0386, 0.6352, 0.8390), B at (0.1689, 0.8934, 0.6256), B at (0.3856, 0.3875, 0.0019), B at (0.5739, 0.9597, 0.3624), B at (0.7006, 0.2898, 0.8554), B at (0.8448, 0.5957, 0.1109), C at (0.1105, 0.4155, 0.3361), C at (0.2971, 0.1718, 0.2000), C at (0.4150, 0.6607, 0.4912), C at (0.7261, 0.4404, 0.6264) and C at (0.9232, 0.1930, 0.4930).



Computed, not measured: a relaxed B7C5 crystal at the PBE-GGA level of DFT.

The energy of formation from the pure elements is 22.52 kJ per mole of atoms. The density of states at the Fermi level is 1.6 states/eV/f.u. As for the electronic total energy: -7.5050 eV per atom.

The structure belongs to space group Pm (No. 6); the cell edges are 4.4496, 2.7070 and 9.3745 Å and the angles 90.00°, 96.97° and 90.00°. The asymmetric unit holds B at (0.0000, 0.0000, 0.0000), B at (0.0731, 0.0000, 0.5413), B at (0.2079, 0.0000, 0.2369), B at (0.3524, 0.0000, 0.7654), B at (0.4666, 0.5000, 0.0437), B at (0.7689, 0.5000, 0.9465), B at (0.8502, 0.5000, 0.7441), C at (0.1123, 0.5000, 0.4579), C at (0.1619, 0.5000, 0.3164), C at (0.3224, 0.0000, 0.0839), C at (0.5214, 0.5000, 0.7990) and C at (0.9984, 0.0000, 0.6984).



Computed, not measured: a relaxed B7C5 crystal at the PBE-GGA level of DFT.

The energy of formation from the pure elements is 44.58 kJ per mole of atoms. The density of states at the Fermi level is 0.6 states/eV/f.u. As for the electronic total energy: -7.2764 eV per atom.

The structure belongs to space group Pm (No. 6); the cell edges are 4.1887, 2.5188 and 7.8867 Å and the angles 90.00°, 92.69° and 90.00°. The asymmetric unit holds B at (0.0000, 0.0000, 0.0000), B at (0.0086, 0.0000, 0.3878), B at (0.2782, 0.0000, 0.2311), B at (0.3028, 0.0000, 0.8513), B at (0.5352, 0.5000, 0.1671), B at (0.6816, 0.5000, 0.3862), B at (0.9708, 0.0000, 0.6925), C at (0.2724, 0.0000, 0.5650), C at (0.4778, 0.5000, 0.5518), C at (0.5543, 0.5000, 0.8566), C at (0.7348, 0.5000, 0.6977) and C at (0.7633, 0.5000, 0.0172).



Computed, not measured: a relaxed BC crystal at the PBE-GGA level of DFT.

The energy of formation from the pure elements is 35.38 kJ per mole of atoms. The density of states at the Fermi level is 0.4 states/eV/f.u. As for the electronic total energy: -7.5840 eV per atom.

The structure belongs to space group P2/c (No. 13); the cell edges are 4.2819, 3.4807 and 5.7736 Å and the angles 90.00°, 113.59° and 90.00°. The asymmetric unit holds B at (0.0000, 0.1553, 0.2500), B at (0.1983, 0.4028, 0.0510), C at (0.3517, 0.1089, 0.9023) and C at (0.5000, 0.3461, 0.7500).



Computed, not measured: a relaxed BC crystal at the PBE-GGA level of DFT.

The energy of formation from the pure elements is 37.36 kJ per mole of atoms. The density of states at the Fermi level is 0.2 states/eV/f.u. As for the electronic total energy: -7.5635 eV per atom.

The structure belongs to space group Cm (No. 8); the cell edges are 12.7888, 2.6321 and 4.7830 Å and the angles 90.00°, 94.59° and 90.00°. The asymmetric unit holds B at (0.0000, 0.0000, 0.0000), B at (0.0196, 0.0000, 0.3412), B at (0.1668, 0.0000, 0.0929), B at (0.3261, 0.0000, 0.6151), B at (0.3762, 0.0000, 0.9688), B at (0.4710, 0.0000, 0.7503), C at (0.0403, 0.5000, 0.5091), C at (0.1588, 0.5000, 0.5883), C at (0.1984, 0.0000, 0.7551), C at (0.2046, 0.5000, 0.2956), C at (0.3199, 0.5000, 0.4034) and C at (0.3873, 0.5000, 0.1598).



Computed, not measured: a relaxed B7C5 crystal at the PBE-GGA level of DFT.

The energy of formation from the pure elements is 29.43 kJ per mole of atoms. The density of states at the Fermi level is 1.3 states/eV/f.u. As for the electronic total energy: -7.4334 eV per atom.

The structure belongs to space group P3m1 (No. 156); the cell edges are 2.6710, 2.6710 and 15.0991 Å and the angles 90.00°, 90.00° and 120.00°. The asymmetric unit holds B at (0.0000, 0.0000, 0.0000), B at (0.0000, 0.0000, 0.2619), B at (0.0000, 0.0000, 0.6872), B at (0.3333, 0.6667, 0.3736), B at (0.3333, 0.6667, 0.8204), B at (0.6667, 0.3333, 0.4394), B at (0.6667, 0.3333, 0.8891), C at (0.0000, 0.0000, 0.5732), C at (0.3333, 0.6667, 0.2699), C at (0.3333, 0.6667, 0.7199), C at (0.6667, 0.3333, 0.5439) and C at (0.6667, 0.3333, 0.9926).



Computed, not measured: a relaxed B3C7 crystal at the PBE-GGA level of DFT.

The energy of formation from the pure elements is 34.31 kJ per mole of atoms. The density of states at the Fermi level is 2.2 states/eV/f.u. As for the electronic total energy: -8.1043 eV per atom.

The structure belongs to space group Imm2 (No. 44); the cell edges are 2.5087, 13.1441 and 3.8248 Å and the angles 90.00°, 90.00° and 90.00°. The asymmetric unit holds B at (0.0000, 0.0000, 0.0000), B at (0.0000, 0.3974, 0.9958), C at (0.0000, 0.1061, 0.7845), C at (0.0000, 0.2025, 0.0080), C at (0.0000, 0.2957, 0.7443) and C at (0.0000, 0.5000, 0.7803).



Computed, not measured: a relaxed B3C crystal at the PBE-GGA level of DFT.

The energy of formation from the pure elements is 39.00 kJ per mole of atoms. The density of states at the Fermi level is 0.4 states/eV/f.u. As for the electronic total energy: -6.9099 eV per atom.

The structure belongs to space group P1 (No. 1); the cell edges are 3.4559, 5.3369 and 5.4985 Å and the angles 66.89°, 76.90° and 74.01°. The asymmetric unit holds B at (0.0000, 0.0000, 0.0000), B at (0.0085, 0.6527, 0.1794), B at (0.0449, 0.7160, 0.5996), B at (0.0553, 0.0709, 0.4757), B at (0.3752, 0.1570, 0.7857), B at (0.5331, 0.1502, 0.3331), B at (0.6216, 0.5596, 0.8383), B at (0.6856, 0.4216, 0.3917), B at (0.8112, 0.8814, 0.8158), C at (0.4350, 0.4675, 0.6578), C at (0.4584, 0.4740, 0.1433) and C at (0.9217, 0.9087, 0.3070).



Computed, not measured: a relaxed B3C2 crystal at the PBE-GGA level of DFT.

The energy of formation from the pure elements is 37.61 kJ per mole of atoms. The density of states at the Fermi level is 0.4 states/eV/f.u. As for the electronic total energy: -7.3062 eV per atom.

The structure belongs to space group Cm (No. 8); the cell edges are 8.1790, 2.5926 and 6.2746 Å and the angles 90.00°, 99.82° and 90.00°. The asymmetric unit holds B at (0.0000, 0.0000, 0.0000), B at (0.0008, 0.0000, 0.2810), B at (0.1274, 0.5000, 0.4370), B at (0.2071, 0.0000, 0.1311), B at (0.3583, 0.5000, 0.5093), B at (0.3652, 0.0000, 0.8670), C at (0.1063, 0.5000, 0.6998), C at (0.1606, 0.0000, 0.8370), C at (0.2842, 0.5000, 0.2529) and C at (0.4154, 0.0000, 0.6354).



Computed, not measured: a relaxed BC crystal at the PBE-GGA level of DFT.

The energy of formation from the pure elements is 40.29 kJ per mole of atoms. The density of states at the Fermi level is 0.3 states/eV/f.u. As for the electronic total energy: -7.5331 eV per atom.

The structure belongs to space group Pm (No. 6); the cell edges are 4.5936, 2.6684 and 6.6458 Å and the angles 90.00°, 91.77° and 90.00°. The asymmetric unit holds B at (0.0000, 0.0000, 0.0000), B at (0.0963, 0.0000, 0.7458), B at (0.2109, 0.5000, 0.5912), B at (0.3149, 0.0000, 0.2693), B at (0.6267, 0.0000, 0.5944), B at (0.8311, 0.5000, 0.2765), C at (0.1723, 0.5000, 0.3585), C at (0.3496, 0.0000, 0.9908), C at (0.5201, 0.5000, 0.9344), C at (0.5451, 0.5000, 0.7033), C at (0.6639, 0.0000, 0.3598) and C at (0.8290, 0.5000, 0.0258).



Computed, not measured: a relaxed B7C5 crystal at the PBE-GGA level of DFT.

The energy of formation from the pure elements is 43.57 kJ per mole of atoms. The density of states at the Fermi level is 1.4 states/eV/f.u. As for the electronic total energy: -7.2869 eV per atom.

The structure belongs to space group Pm (No. 6); the cell edges are 4.1692, 2.4709 and 8.0915 Å and the angles 90.00°, 92.15° and 90.00°. The asymmetric unit holds B at (0.0000, 0.0000, 0.0000), B at (0.0071, 0.0000, 0.3680), B at (0.0358, 0.0000, 0.7075), B at (0.2809, 0.0000, 0.2202), B at (0.5606, 0.5000, 0.1725), B at (0.6983, 0.5000, 0.3910), B at (0.7089, 0.5000, 0.7024), C at (0.2616, 0.0000, 0.5451), C at (0.2907, 0.0000, 0.8701), C at (0.4657, 0.5000, 0.5410), C at (0.4975, 0.5000, 0.8707) and C at (0.7620, 0.5000, 0.0149).



Density? In order: 2.537 2.644 2.011 2.712 2.883 2.834 2.416 3.068 2.492 2.860 2.793 2.706 g/cm³.
Distance to the lowest polymorph of the same formula? In order: 2.91 3.43 0.83 3.57 0.43 0.47 1.69 0.93 0.65 0.89 0.53 3.45 eV/f.u..